# LiLaAs2Pd

An optimized crystal structure of LiLaAs2Pd (PBE, the Alexandria database).

Cell lengths 4.2257, 4.2257, 6.2474 Å; angles 109.77, 109.77, 90.00 degrees
Fractional coordinates of all 5 atoms:
1 Li 0.7500 0.2500 0.5000
2 La 0.0000 0.0000 0.0000
3 As 0.6183 0.6183 0.2365
4 As 0.3817 0.3817 0.7635
5 Pd 0.2500 0.7500 0.5000

The energy of formation is -0.99 eV per atom.

---

# LiLa2As4Pd3

An optimized crystal structure of LiLa2As4Pd3 (PBE, the Alexandria database).

Cell lengths 4.4349, 4.4349, 10.1631 Å; angles 90.00, 90.00, 90.00 degrees
Fractional coordinates of all 10 atoms:
1 Li 0.5000 0.5000 0.5000
2 La 0.5000 0.0000 0.2481
3 La 0.0000 0.5000 0.7519
4 As 0.5000 0.5000 0.0000
5 As 0.0000 0.0000 0.0000
6 As 0.5000 0.0000 0.6337
7 As 0.0000 0.5000 0.3663
8 Pd 0.0000 0.0000 0.5000
9 Pd 0.5000 0.0000 0.8808
10 Pd 0.0000 0.5000 0.1192

The energy of formation is -0.96 eV per atom.

---

# LiLaAs2Pd5

An optimized crystal structure of LiLaAs2Pd5 (PBE, the Alexandria database).

Cell lengths 4.2492, 4.2492, 9.3277 Å; angles 90.00, 90.00, 90.00 degrees
Fractional coordinates of all 9 atoms:
1 Li 0.0000 0.0000 0.0000
2 La 0.0000 0.0000 0.5000
3 As 0.5000 0.5000 0.1319
4 As 0.5000 0.5000 0.8681
5 Pd 0.0000 0.5000 0.2681
6 Pd 0.5000 0.0000 0.2681
7 Pd 0.0000 0.5000 0.7319
8 Pd 0.5000 0.0000 0.7319
9 Pd 0.5000 0.5000 0.5000

The energy of formation is -0.61 eV per atom.

---

# Li3La2As4Pd

An optimized crystal structure of Li3La2As4Pd (PBE, the Alexandria database).

Cell lengths 4.3030, 4.3030, 10.3715 Å; angles 90.00, 90.00, 90.00 degrees
Fractional coordinates of all 10 atoms:
1 Li 0.0000 0.0000 0.5000
2 Li 0.5000 0.0000 0.8775
3 Li 0.0000 0.5000 0.1225
4 La 0.5000 0.0000 0.2516
5 La 0.0000 0.5000 0.7484
6 As 0.5000 0.5000 0.0000
7 As 0.0000 0.0000 0.0000
8 As 0.5000 0.0000 0.6438
9 As 0.0000 0.5000 0.3562
10 Pd 0.5000 0.5000 0.5000

The energy of formation is -0.97 eV per atom.

---

# LiLaAs2Pt5

An optimized crystal structure of LiLaAs2Pt5 (PBE, the Alexandria database).

Cell lengths 4.2411, 4.2411, 9.4513 Å; angles 90.00, 90.00, 90.00 degrees
Fractional coordinates of all 9 atoms:
1 Li 0.0000 0.0000 0.0000
2 La 0.0000 0.0000 0.5000
3 As 0.5000 0.5000 0.1328
4 As 0.5000 0.5000 0.8672
5 Pt 0.0000 0.5000 0.2692
6 Pt 0.5000 0.0000 0.2692
7 Pt 0.0000 0.5000 0.7308
8 Pt 0.5000 0.0000 0.7308
9 Pt 0.5000 0.5000 0.5000

The energy of formation is -0.64 eV per atom.

---

# Li3La2As4Pt

An optimized crystal structure of Li3La2As4Pt (PBE, the Alexandria database).

Cell lengths 4.3149, 4.3149, 10.2841 Å; angles 90.00, 90.00, 90.00 degrees
Fractional coordinates of all 10 atoms:
1 Li 0.0000 0.0000 0.5000
2 Li 0.5000 0.0000 0.8775
3 Li 0.0000 0.5000 0.1225
4 La 0.5000 0.0000 0.2538
5 La 0.0000 0.5000 0.7462
6 As 0.5000 0.5000 0.0000
7 As 0.0000 0.0000 0.0000
8 As 0.5000 0.0000 0.6412
9 As 0.0000 0.5000 0.3588
10 Pt 0.5000 0.5000 0.5000

The energy of formation is -0.97 eV per atom.